DFT (PBE) results for crystalline KNiIr at its relaxed geometry.

```
data_KNiIr
_chemical_formula_sum 'K2 Ni2 Ir2'
_space_group_name_H-M_alt 'I m m 2'
_space_group_IT_number 44
_space_group_name_Hall 'I 2 -2'
_cell_length_a 2.639
_cell_length_b 4.041
_cell_length_c 11.591
_cell_angle_alpha 90.00
_cell_angle_beta 90.00
_cell_angle_gamma 90.00
loop_
_atom_site_label
_atom_site_type_symbol
_atom_site_fract_x
_atom_site_fract_y
_atom_site_fract_z
K1 K 0.000 0.000 0.000
Ni1 Ni 0.000 0.000 0.271
Ir1 Ir 0.000 0.000 0.722
```

Properties
ρ = 7.8 g/cm³
M_tot = 0.00 Bohr magnetons per cell
Energy of formation from the pure elements = 389.2 meV per atom
Energy = -4.86 eV/atom
Distance to the lowest polymorph of the same formula = 0 meV per atom

DFT (PBE) results for crystalline K2NiIr at its relaxed geometry.

```
data_K2NiIr
_chemical_formula_sum 'K8 Ni4 Ir4'
_space_group_name_H-M_alt 'F m -3 m'
_space_group_IT_number 225
_space_group_name_Hall '-F 4 2 3'
_cell_length_a 7.457
_cell_length_b 7.457
_cell_length_c 7.457
_cell_angle_alpha 90.00
_cell_angle_beta 90.00
_cell_angle_gamma 90.00
loop_
_atom_site_label
_atom_site_type_symbol
_atom_site_fract_x
_atom_site_fract_y
_atom_site_fract_z
K1 K 0.250 0.250 0.250
Ni1 Ni 0.000 0.000 0.000
Ir1 Ir 0.000 0.000 0.500
```

Properties
ρ = 5.3 g/cm³
M_tot = 5.30 Bohr magnetons per cell
Energy of formation from the pure elements = 1399.5 meV per atom
Energy = -2.81 eV/atom
Distance to the lowest polymorph of the same formula = 986 meV per atom

DFT (PBE) results for crystalline K2NiIr at its relaxed geometry.

```
data_K2NiIr
_chemical_formula_sum 'K8 Ni4 Ir4'
_space_group_name_H-M_alt 'F -4 3 m'
_space_group_IT_number 216
_space_group_name_Hall 'F -4 2 3'
_cell_length_a 7.052
_cell_length_b 7.052
_cell_length_c 7.052
_cell_angle_alpha 90.00
_cell_angle_beta 90.00
_cell_angle_gamma 90.00
loop_
_atom_site_label
_atom_site_type_symbol
_atom_site_fract_x
_atom_site_fract_y
_atom_site_fract_z
K1 K 0.000 0.000 0.000
K2 K 0.250 0.250 0.250
Ni1 Ni 0.250 0.250 0.750
Ir1 Ir 0.000 0.000 0.500
```

Properties
ρ = 6.2 g/cm³
M_tot = 4.60 Bohr magnetons per cell
Energy of formation from the pure elements = 1056.7 meV per atom
Energy = -3.15 eV/atom
Distance to the lowest polymorph of the same formula = 643 meV per atom